Here is KRbY2Sn after structural relaxation from Alexandria. Energies are from PBE.

Values from the calculation:
As for the energy of formation from the pure elements: 1.174 eV/atom. For the total magnetic moment, the calculation gives 0.187 μB per atom.

Cell lengths 5.847, 5.847, 5.772 Å; angles 90.00, 90.00, 90.00 degrees
Sites, in units of the cell vectors:
K 0.000 0.000 0.000
Rb 0.000 0.000 0.500
Y 0.000 0.500 0.000
Y 0.500 0.000 0.000
Sn 0.500 0.500 0.500

***

Here is K2Rb4ZnSn2 after structural relaxation from Alexandria. Energies are from PBE.

Values from the calculation:
As for the energy of formation from the pure elements: -0.047 eV/atom. For the total magnetic moment, the calculation gives 0.000 μB per atom.

Cell lengths 8.722, 8.722, 7.118 Å; angles 103.76, 103.76, 56.09 degrees
Sites, in units of the cell vectors:
K 0.156 0.156 0.283
K 0.844 0.844 0.717
Rb 0.143 0.613 0.258
Rb 0.387 0.857 0.742
Rb 0.613 0.143 0.258
Rb 0.857 0.387 0.742
Zn 0.500 0.500 0.000
Sn 0.342 0.342 0.739
Sn 0.658 0.658 0.261

***

Here is KRb2ZnSn after structural relaxation from Alexandria. Energies are from PBE.

Values from the calculation:
As for the energy of formation from the pure elements: 0.040 eV/atom. For the total magnetic moment, the calculation gives 0.093 μB per atom.

Cell lengths 6.922, 6.922, 5.190 Å; angles 90.00, 90.00, 90.00 degrees
Sites, in units of the cell vectors:
K 0.000 0.000 0.000
Rb 0.000 0.500 0.500
Rb 0.500 0.000 0.500
Zn 0.500 0.500 0.500
Sn 0.500 0.500 0.000

***

Here is K2RbZnSn after structural relaxation from Alexandria. Energies are from PBE.

Values from the calculation:
As for the energy of formation from the pure elements: 0.019 eV/atom. For the total magnetic moment, the calculation gives 0.091 μB per atom.

Cell lengths 6.644, 6.644, 5.202 Å; angles 90.00, 90.00, 90.00 degrees
Sites, in units of the cell vectors:
K 0.000 0.500 0.000
K 0.500 0.000 0.000
Rb 0.000 0.000 0.500
Zn 0.500 0.500 0.000
Sn 0.500 0.500 0.500

***

Here is K2RbZnSn after structural relaxation from Alexandria. Energies are from PBE.

Values from the calculation:
As for the energy of formation from the pure elements: 0.050 eV/atom. For the total magnetic moment, the calculation gives 0.000 μB per atom.

Cell lengths 7.019, 7.019, 5.245 Å; angles 90.00, 90.00, 90.00 degrees
Sites, in units of the cell vectors:
K 0.000 0.500 0.000
K 0.500 0.000 0.000
Rb 0.000 0.000 0.500
Zn 0.500 0.500 0.500
Sn 0.500 0.500 0.000

***

Here is K12Rb16Sr after structural relaxation from Alexandria. Energies are from PBE.

Values from the calculation:
As for the energy of formation from the pure elements: 0.026 eV/atom. For the total magnetic moment, the calculation gives 0.000 μB per atom.

Cell lengths 14.507, 14.507, 14.472 Å; angles 109.12, 109.12, 109.13 degrees
Sites, in units of the cell vectors:
K 0.000 0.000 0.000
K 0.009 0.197 0.820
K 0.190 0.561 0.002
K 0.192 0.192 0.369
K 0.197 0.009 0.820
K 0.375 0.747 0.372
K 0.382 0.566 0.564
K 0.561 0.190 0.002
K 0.565 0.745 0.181
K 0.566 0.382 0.564
K 0.745 0.565 0.181
K 0.747 0.375 0.372
Rb 0.020 0.378 0.189
Rb 0.053 0.784 0.183
Rb 0.059 0.376 0.592
Rb 0.097 0.693 0.504
Rb 0.376 0.059 0.592
Rb 0.376 0.376 0.186
Rb 0.378 0.020 0.189
Rb 0.382 0.780 0.872
Rb 0.383 0.383 0.830
Rb 0.655 0.967 0.783
Rb 0.693 0.097 0.504
Rb 0.732 0.732 0.548
Rb 0.780 0.382 0.872
Rb 0.784 0.053 0.183
Rb 0.967 0.655 0.783
Rb 0.971 0.971 0.468
Sr 0.692 0.692 0.905

***

Here is K4Rb2Sr after structural relaxation from Alexandria. Energies are from PBE.

Values from the calculation:
As for the energy of formation from the pure elements: 0.047 eV/atom. For the total magnetic moment, the calculation gives 0.000 μB per atom.

Cell lengths 27.662, 27.662, 27.662 Å; angles 9.61, 9.61, 9.61 degrees
Sites, in units of the cell vectors:
K 0.143 0.143 0.143
K 0.289 0.289 0.289
K 0.711 0.711 0.711
K 0.857 0.857 0.857
Rb 0.427 0.427 0.427
Rb 0.573 0.573 0.573
Sr 0.000 0.000 0.000

***

Here is K3RbSr after structural relaxation from Alexandria. Energies are from PBE.

Values from the calculation:
As for the energy of formation from the pure elements: 0.326 eV/atom. For the total magnetic moment, the calculation gives 0.000 μB per atom.

Cell lengths 7.914, 7.914, 7.914 Å; angles 90.00, 90.00, 90.00 degrees
Sites, in units of the cell vectors:
K 0.000 0.000 0.500
K 0.000 0.500 0.000
K 0.500 0.000 0.000
Rb 0.500 0.500 0.500
Sr 0.000 0.000 0.000